# Ba2Sr5Hg, optimized geometry, DFT GGA-PBE
data_Ba2Sr5Hg
_chemical_formula_sum 'Ba4 Sr10 Hg2'
_cell_length_a 10.300
_cell_length_b 18.582
_cell_length_c 4.254
_cell_angle_alpha 90.00
_cell_angle_beta 90.00
_cell_angle_gamma 90.00
_space_group_name_H-M_alt 'P 1'
_space_group_IT_number 1
_space_group_name_Hall 'P 1'
loop_
_atom_site_label
_atom_site_type_symbol
_atom_site_fract_x
_atom_site_fract_y
_atom_site_fract_z
Ba1 Ba 0.198 0.110 0.000
Ba2 Ba 0.302 0.610 0.000
Ba3 Ba 0.698 0.390 0.000
Ba4 Ba 0.802 0.890 0.000
Sr1 Sr 0.000 0.500 0.500
Sr2 Sr 0.005 0.277 0.500
Sr3 Sr 0.191 0.891 0.000
Sr4 Sr 0.309 0.391 0.000
Sr5 Sr 0.495 0.777 0.500
Sr6 Sr 0.500 0.000 0.500
Sr7 Sr 0.505 0.223 0.500
Sr8 Sr 0.691 0.609 0.000
Sr9 Sr 0.809 0.109 0.000
Sr10 Sr 0.995 0.723 0.500
Hg1 Hg 0.000 0.000 0.500
Hg2 Hg 0.500 0.500 0.500
# VASP energy: -27.02 eV per cell
# calculated formation energy: -0.119 eV/atom
# N(E_F): 1.291 states/eV per atom

# CaMnFe2, optimized geometry, DFT GGA-PBE
data_CaMnFe2
_chemical_formula_sum 'Ca1 Mn1 Fe2'
_cell_length_a 5.778
_cell_length_b 5.778
_cell_length_c 5.778
_cell_angle_alpha 40.38
_cell_angle_beta 40.38
_cell_angle_gamma 40.38
_space_group_name_H-M_alt 'P 1'
_space_group_IT_number 1
_space_group_name_Hall 'P 1'
loop_
_atom_site_label
_atom_site_type_symbol
_atom_site_fract_x
_atom_site_fract_y
_atom_site_fract_z
Ca1 Ca 0.000 0.000 0.000
Mn1 Mn 0.190 0.190 0.190
Fe1 Fe 0.523 0.523 0.523
Fe2 Fe 0.805 0.805 0.805
# VASP energy: -26.65 eV per cell
# offset from the most stable computed form: 13.2 meV/atom
# calculated formation energy: 0.362 eV/atom
# N(E_F): 0.779 states/eV per atom

# NiAgSe2, optimized geometry, DFT GGA-PBE
data_NiAgSe2
_chemical_formula_sum 'Ni2 Ag2 Se4'
_cell_length_a 11.202
_cell_length_b 11.202
_cell_length_c 4.645
_cell_angle_alpha 90.00
_cell_angle_beta 90.00
_cell_angle_gamma 164.59
_space_group_name_H-M_alt 'P 1'
_space_group_IT_number 1
_space_group_name_Hall 'P 1'
loop_
_atom_site_label
_atom_site_type_symbol
_atom_site_fract_x
_atom_site_fract_y
_atom_site_fract_z
Ni1 Ni 0.063 0.937 0.750
Ni2 Ni 0.937 0.063 0.250
Ag1 Ag 0.308 0.692 0.750
Ag2 Ag 0.692 0.308 0.250
Se1 Se 0.042 0.958 0.250
Se2 Se 0.170 0.830 0.750
Se3 Se 0.830 0.170 0.250
Se4 Se 0.958 0.042 0.750
# VASP energy: -31.59 eV per cell
# uncorrected formation energy: -48 meV/atom
# offset from the most stable computed form: 98.4 meV/atom
# N(E_F): 0.759 states/eV per atom

# KLaAs2, optimized geometry, DFT GGA-PBE
data_KLaAs2
_chemical_formula_sum 'K2 La2 As4'
_cell_length_a 10.586
_cell_length_b 10.586
_cell_length_c 10.586
_cell_angle_alpha 147.69
_cell_angle_beta 147.69
_cell_angle_gamma 46.35
_space_group_name_H-M_alt 'P 1'
_space_group_IT_number 1
_space_group_name_Hall 'P 1'
loop_
_atom_site_label
_atom_site_type_symbol
_atom_site_fract_x
_atom_site_fract_y
_atom_site_fract_z
K1 K 0.000 0.000 0.000
K2 K 0.750 0.250 0.500
La1 La 0.250 0.750 0.500
La2 La 0.500 0.500 0.000
As1 As 0.303 0.625 0.178
As2 As 0.375 0.553 0.678
As3 As 0.447 0.125 0.822
As4 As 0.875 0.697 0.322
# VASP energy: -33.92 eV per cell
# offset from the most stable computed form: 472.0 meV/atom
# calculated formation energy: -0.409 eV/atom
# N(E_F): 0.080 states/eV per atom

# BSbSe2, optimized geometry, DFT GGA-PBE
data_BSbSe2
_chemical_formula_sum 'B2 Sb2 Se4'
_cell_length_a 5.910
_cell_length_b 6.424
_cell_length_c 7.183
_cell_angle_alpha 103.45
_cell_angle_beta 109.65
_cell_angle_gamma 105.09
_space_group_name_H-M_alt 'P 1'
_space_group_IT_number 1
_space_group_name_Hall 'P 1'
loop_
_atom_site_label
_atom_site_type_symbol
_atom_site_fract_x
_atom_site_fract_y
_atom_site_fract_z
B1 B 0.000 0.000 0.000
B2 B 0.094 0.875 0.180
Sb1 Sb 0.242 0.381 0.200
Sb2 Sb 0.794 0.168 0.550
Se1 Se 0.205 0.143 0.474
Se2 Se 0.451 0.922 0.160
Se3 Se 0.784 0.833 0.704
Se4 Se 0.880 0.548 0.137
# VASP energy: -35.40 eV per cell
# uncorrected formation energy: 17 meV/atom
# offset from the most stable computed form: 95.2 meV/atom

# Ho2AlC2, optimized geometry, DFT GGA-PBE
data_Ho2AlC2
_chemical_formula_sum 'Ho4 Al2 C4'
_cell_length_a 6.132
_cell_length_b 6.132
_cell_length_c 6.820
_cell_angle_alpha 116.90
_cell_angle_beta 116.90
_cell_angle_gamma 48.86
_space_group_name_H-M_alt 'P 1'
_space_group_IT_number 1
_space_group_name_Hall 'P 1'
loop_
_atom_site_label
_atom_site_type_symbol
_atom_site_fract_x
_atom_site_fract_y
_atom_site_fract_z
Ho1 Ho 0.034 0.034 0.267
Ho2 Ho 0.328 0.328 0.911
Ho3 Ho 0.672 0.672 0.089
Ho4 Ho 0.966 0.966 0.733
Al1 Al 0.366 0.366 0.372
Al2 Al 0.634 0.634 0.628
C1 C 0.176 0.176 0.101
C2 C 0.477 0.477 0.714
C3 C 0.523 0.523 0.286
C4 C 0.824 0.824 0.899
# VASP energy: -65.77 eV per cell
# calculated formation energy: -0.308 eV/atom
# N(E_F): 0.476 states/eV per atom

# TmNbOs, optimized geometry, DFT GGA-PBE
data_TmNbOs
_chemical_formula_sum 'Tm2 Nb2 Os2'
_cell_length_a 4.478
_cell_length_b 4.478
_cell_length_c 6.529
_cell_angle_alpha 90.00
_cell_angle_beta 90.00
_cell_angle_gamma 90.00
_space_group_name_H-M_alt 'P 1'
_space_group_IT_number 1
_space_group_name_Hall 'P 1'
loop_
_atom_site_label
_atom_site_type_symbol
_atom_site_fract_x
_atom_site_fract_y
_atom_site_fract_z
Tm1 Tm 0.250 0.250 0.142
Tm2 Tm 0.750 0.750 0.858
Nb1 Nb 0.250 0.750 0.500
Nb2 Nb 0.750 0.250 0.500
Os1 Os 0.250 0.250 0.702
Os2 Os 0.750 0.750 0.298
# VASP energy: -52.72 eV per cell
# offset from the most stable computed form: 56.1 meV/atom
# calculated formation energy: -0.196 eV/atom
# N(E_F): 1.053 states/eV per atom

# ReAgP2, optimized geometry, DFT GGA-PBE
data_ReAgP2
_chemical_formula_sum 'Re1 Ag1 P2'
_cell_length_a 2.884
_cell_length_b 2.884
_cell_length_c 7.780
_cell_angle_alpha 90.00
_cell_angle_beta 90.00
_cell_angle_gamma 90.00
_space_group_name_H-M_alt 'P 1'
_space_group_IT_number 1
_space_group_name_Hall 'P 1'
loop_
_atom_site_label
_atom_site_type_symbol
_atom_site_fract_x
_atom_site_fract_y
_atom_site_fract_z
Re1 Re 0.000 0.000 0.000
Ag1 Ag 0.500 0.500 0.278
P1 P 0.000 0.000 0.527
P2 P 0.500 0.500 0.833
# VASP energy: -24.34 eV per cell
# offset from the most stable computed form: 419.0 meV/atom
# calculated formation energy: 0.445 eV/atom
# N(E_F): 0.544 states/eV per atom

# Dy4ZnIn3, optimized geometry, DFT GGA-PBE
data_Dy4ZnIn3
_chemical_formula_sum 'Dy4 Zn1 In3'
_cell_length_a 3.786
_cell_length_b 4.701
_cell_length_c 11.933
_cell_angle_alpha 90.00
_cell_angle_beta 90.00
_cell_angle_gamma 90.00
_space_group_name_H-M_alt 'P 1'
_space_group_IT_number 1
_space_group_name_Hall 'P 1'
loop_
_atom_site_label
_atom_site_type_symbol
_atom_site_fract_x
_atom_site_fract_y
_atom_site_fract_z
Dy1 Dy 0.000 0.000 0.000
Dy2 Dy 0.000 0.500 0.300
Dy3 Dy 0.500 0.000 0.483
Dy4 Dy 0.500 0.500 0.808
Zn1 Zn 0.500 0.000 0.226
In1 In 0.000 0.000 0.727
In2 In 0.000 0.500 0.570
In3 In 0.500 0.500 0.078
# VASP energy: -31.00 eV per cell
# offset from the most stable computed form: 57.3 meV/atom
# calculated formation energy: -0.388 eV/atom
# N(E_F): 0.835 states/eV per atom

# NaLiGe2, optimized geometry, DFT GGA-PBE
data_NaLiGe2
_chemical_formula_sum 'Na2 Li2 Ge4'
_cell_length_a 9.924
_cell_length_b 9.924
_cell_length_c 9.924
_cell_angle_alpha 154.61
_cell_angle_beta 154.61
_cell_angle_gamma 36.22
_space_group_name_H-M_alt 'P 1'
_space_group_IT_number 1
_space_group_name_Hall 'P 1'
loop_
_atom_site_label
_atom_site_type_symbol
_atom_site_fract_x
_atom_site_fract_y
_atom_site_fract_z
Na1 Na 0.000 0.000 0.000
Na2 Na 0.750 0.250 0.500
Li1 Li 0.250 0.750 0.500
Li2 Li 0.500 0.500 0.000
Ge1 Ge 0.220 0.625 0.095
Ge2 Ge 0.375 0.470 0.595
Ge3 Ge 0.530 0.125 0.905
Ge4 Ge 0.875 0.780 0.405
# VASP energy: -24.45 eV per cell
# offset from the most stable computed form: 240.1 meV/atom
# calculated formation energy: 0.061 eV/atom
# N(E_F): 0.521 states/eV per atom

# GdP, optimized geometry, DFT GGA-PBE
data_GdP
_chemical_formula_sum 'Gd1 P1'
_cell_length_a 4.053
_cell_length_b 4.053
_cell_length_c 4.053
_cell_angle_alpha 60.00
_cell_angle_beta 60.00
_cell_angle_gamma 60.00
_space_group_name_H-M_alt 'P 1'
_space_group_IT_number 1
_space_group_name_Hall 'P 1'
loop_
_atom_site_label
_atom_site_type_symbol
_atom_site_fract_x
_atom_site_fract_y
_atom_site_fract_z
Gd1 Gd 0.000 0.000 0.000
P1 P 0.500 0.500 0.500
# VASP energy: -22.68 eV per cell
# calculated formation energy: -1.597 eV/atom
# N(E_F): 0.076 states/eV per atom

# LiCdOs2, optimized geometry, DFT GGA-PBE
data_LiCdOs2
_chemical_formula_sum 'Li1 Cd1 Os2'
_cell_length_a 3.020
_cell_length_b 3.020
_cell_length_c 6.500
_cell_angle_alpha 90.00
_cell_angle_beta 90.00
_cell_angle_gamma 90.00
_space_group_name_H-M_alt 'P 1'
_space_group_IT_number 1
_space_group_name_Hall 'P 1'
loop_
_atom_site_label
_atom_site_type_symbol
_atom_site_fract_x
_atom_site_fract_y
_atom_site_fract_z
Li1 Li 0.000 0.000 0.000
Cd1 Cd 0.000 0.000 0.500
Os1 Os 0.500 0.500 0.185
Os2 Os 0.500 0.500 0.815
# VASP energy: -22.42 eV per cell
# calculated formation energy: 0.718 eV/atom
# N(E_F): 0.774 states/eV per atom

# Tb4SmEr6, optimized geometry, DFT GGA-PBE
data_Tb4SmEr6
_chemical_formula_sum 'Tb8 Sm2 Er12'
_cell_length_a 5.574
_cell_length_b 5.574
_cell_length_c 25.582
_cell_angle_alpha 90.00
_cell_angle_beta 90.00
_cell_angle_gamma 119.12
_space_group_name_H-M_alt 'P 1'
_space_group_IT_number 1
_space_group_name_Hall 'P 1'
loop_
_atom_site_label
_atom_site_type_symbol
_atom_site_fract_x
_atom_site_fract_y
_atom_site_fract_z
Tb1 Tb 0.017 0.983 0.621
Tb2 Tb 0.017 0.983 0.879
Tb3 Tb 0.339 0.661 0.542
Tb4 Tb 0.339 0.661 0.958
Tb5 Tb 0.661 0.339 0.042
Tb6 Tb 0.661 0.339 0.458
Tb7 Tb 0.983 0.017 0.121
Tb8 Tb 0.983 0.017 0.379
Sm1 Sm 0.323 0.677 0.250
Sm2 Sm 0.677 0.323 0.750
Er1 Er 0.000 0.000 0.000
Er2 Er 0.000 0.000 0.500
Er3 Er 0.011 0.989 0.750
Er4 Er 0.320 0.680 0.103
Er5 Er 0.320 0.680 0.397
Er6 Er 0.347 0.653 0.681
Er7 Er 0.347 0.653 0.819
Er8 Er 0.653 0.347 0.181
Er9 Er 0.653 0.347 0.319
Er10 Er 0.680 0.320 0.603
Er11 Er 0.680 0.320 0.897
Er12 Er 0.989 0.011 0.250
# VASP energy: -98.55 eV per cell
# offset from the most stable computed form: 0.0 meV/atom
# calculated formation energy: 0.122 eV/atom
# N(E_F): 1.716 states/eV per atom